No. 1
Here is a relaxed Ba3Cd3Pd crystal from Alexandria via LeMat-Bulk. Energies are from PBE.

Values from the calculation:
Formation energy from the elements: -0.39 eV/atom
Uncorrected energy: -16.413 eV/f.u.

Cell and atoms, written as POSCAR:
```
Ba3Cd3Pd
1.0
6.270 -2.291 0.000
6.270 2.291 0.000
-4.898 0.000 17.201
Ba Cd Pd
6 6 2
Direct
0.016 0.016 0.392
0.109 0.109 0.920
0.240 0.240 0.246
0.760 0.760 0.754
0.891 0.891 0.080
0.984 0.984 0.608
0.318 0.318 0.463
0.397 0.397 0.919
0.471 0.471 0.761
0.529 0.529 0.239
0.603 0.603 0.081
0.682 0.682 0.537
0.288 0.288 0.621
0.712 0.712 0.379
```

=====

No. 2
Here is a relaxed Ba2Cd5Pd5 crystal from Alexandria via LeMat-Bulk. Energies are from PBE.

Values from the calculation:
Formation energy from the elements: -0.44 eV/atom
Uncorrected energy: -39.705 eV/f.u.

Cell and atoms, written as POSCAR:
```
Ba2Cd5Pd5
1.0
4.467 0.000 0.000
0.000 5.960 0.000
0.000 0.000 10.316
Ba Cd Pd
2 5 5
Direct
0.000 0.000 0.000
0.000 0.500 0.500
0.000 0.000 0.321
0.000 0.000 0.679
0.000 0.500 0.166
0.000 0.500 0.834
0.500 0.000 0.500
0.500 0.254 0.251
0.500 0.254 0.749
0.500 0.500 0.000
0.500 0.746 0.251
0.500 0.746 0.749
```